[1]
## Y4Zn3W2C3 (PBE-GGA)

Data for crystalline Y4Zn3W2C3 at its relaxed geometry.

## Properties
M_tot: 0.003 μB/f.u.
calculated density: 7.53 g/cm3
calculated total energy: -7.251 eV per atom

a = 5.918 Å, b = 5.918 Å, c = 14.355 Å
α = 103.32°, β = 103.32°, γ = 60.44°
Positions (direct):
1 Y 0.056 0.189 0.106
2 Y 0.110 0.296 0.394
3 Y 0.189 0.056 0.606
4 Y 0.296 0.110 0.894
5 Y 0.704 0.890 0.106
6 Y 0.811 0.944 0.394
7 Y 0.890 0.704 0.606
8 Y 0.944 0.811 0.894
9 Zn 0.177 0.823 0.250
10 Zn 0.342 0.418 0.755
11 Zn 0.418 0.342 0.255
12 Zn 0.582 0.658 0.745
13 Zn 0.658 0.582 0.245
14 Zn 0.823 0.177 0.750
15 W 0.341 0.525 0.067
16 W 0.475 0.659 0.433
17 W 0.525 0.341 0.567
18 W 0.659 0.475 0.933
19 C 0.000 0.500 0.000
20 C 0.206 0.648 0.500
21 C 0.352 0.794 0.000
22 C 0.500 0.000 0.500
23 C 0.648 0.206 0.000
24 C 0.794 0.352 0.500

---

[2]
## Ir3Se4 (PBE-GGA)

Data for crystalline Ir3Se4 at its relaxed geometry.

## Properties
M_tot: 0.002 μB/f.u.
calculated density: 11.13 g/cm3
calculated total energy: -5.860 eV per atom

a = 6.384 Å, b = 6.384 Å, c = 6.562 Å
α = 117.11°, β = 117.11°, γ = 34.50°
Positions (direct):
1 Ir 0.000 0.000 0.000
2 Ir 0.262 0.262 0.278
3 Ir 0.738 0.738 0.722
4 Se 0.125 0.125 0.463
5 Se 0.368 0.368 0.027
6 Se 0.632 0.632 0.973
7 Se 0.875 0.875 0.537